{"formula": "Li3CoO", "functional": "GGA+U", "state": "optimized geometry", "density_g_cm3": 1.75, "de_polymorph_mev_per_atom": 1161, "dos_ef_per_ev_fu": 6.27, "m_tot_mub_per_cell": 2.00, "cell": [[-3.961, 1.709, 1.259], [-1.961, -3.965, -0.789], [0.811, -1.245, 4.241]], "species": ["Co", "O", "Li", "Li", "Li"], "frac_coords": [[0.000, 0.000, 0.000], [0.500, 0.500, 0.500], [0.000, 0.500, 0.000], [0.000, 0.000, 0.500], [0.500, 0.000, 0.000]]}